1.
Mg2AgIr, relaxed, DFT GGA-PBE; symmetry = I-42d (122); volume = 18.79 Å³/atom; total DFT energy (no corrections) = -0.1281 hartree per atom; energy above the most stable polymorph in this dataset = 0.5503 eV/atom; DOS at the Fermi energy = 4.07 states/eV/cell; ΔH_f (0 K) = 0.2402 eV/atom; calculated density = 7.704 g cm⁻³
1.0
-3.1572 0.8032 -2.4550
-1.8170 -3.4461 1.2092
-6.5528 3.1730 6.0764
Mg Ir Ag
4 2 2
Cartesian
-9.2944 0.0153 3.4855
-3.1210 -1.2723 2.0050
-6.7526 1.4405 4.0719
-3.8861 0.8766 0.0989
0.0000 0.0000 0.0000
-6.0986 1.3274 1.4993
-2.4871 -1.3215 -0.6229
-5.4285 -0.7973 3.3314

---

2.
MgAgIr2, relaxed, DFT GGA-PBE; symmetry = F-43m (216); volume = 15.88 Å³/atom; total DFT energy (no corrections) = -0.1977 hartree per atom; DOS at the Fermi energy = 5.61 states/eV/cell; ΔH_f (0 K) = 0.1614 eV/atom; calculated density = 13.505 g cm⁻³
1.0
-0.2094 -0.2925 -4.4641
0.3792 -3.9877 -2.0031
-3.5675 -1.8714 -1.9566
Ag Ir Mg
1 2 1
Cartesian
-1.6989 -3.0757 -4.2119
-0.8494 -1.5379 -2.1059
0.0000 0.0000 0.0000
-2.5483 -4.6136 -6.3178